Entry A
12
Lattice="9.1985 0.0000 0.0000 0.0000 3.8381 0.0000 0.0000 0.0000 14.3565" Properties=species:S:1:pos:R:3 comment="BaSrZr PBE optimized geometry" spacegroup=Pnma dos_ef_per_ev_atom=0.94 pbc="T T T"
Ba 1.3621 0.9595 3.2358
Ba 3.2372 2.8786 10.4141
Ba 5.9613 0.9595 3.9424
Ba 7.8365 2.8786 11.1207
Sr 1.6282 0.9595 13.6070
Sr 2.9711 2.8786 6.4288
Sr 6.2275 0.9595 7.9278
Sr 7.5703 2.8786 0.7495
Zr 0.4997 0.9595 8.1929
Zr 4.0995 2.8786 1.0147
Zr 5.0990 0.9595 13.3418
Zr 8.6988 2.8786 6.1636

Entry B
3
Lattice="3.7825 0.0000 0.0000 -1.8913 3.2758 0.0000 0.0000 0.0000 9.4219" Properties=species:S:1:pos:R:3 comment="BaSrZr PBE optimized geometry" spacegroup=P3m1 dos_ef_per_ev_atom=1.23 pbc="T T T"
Ba 0.0000 0.0000 0.0000
Sr 0.0000 2.1838 3.7846
Zr 1.8913 1.0919 6.5711

Verdict on stability: entry A comes out on top.

Entry A
3
Lattice="-1.8614 2.6663 5.9637 1.8614 -2.6663 5.9637 1.8614 2.6663 -5.9637" Properties=species:S:1:pos:R:3 comment="BaSrZr PBE optimized geometry" spacegroup=Imm2 dos_ef_per_ev_atom=1.72 pbc="T T T"
Ba 0.0000 0.0000 0.0000
Sr 0.0000 0.0000 8.2196
Zr 0.0000 0.0000 4.0631

Entry B
3
Lattice="-1.8710 1.8710 8.5326 1.8710 -1.8710 8.5326 1.8710 1.8710 -8.5326" Properties=species:S:1:pos:R:3 comment="BaSrZr PBE optimized geometry" spacegroup=I4mm dos_ef_per_ev_atom=1.39 pbc="T T T"
Ba 0.0000 0.0000 0.0000
Sr 0.0000 0.0000 4.9933
Zr 0.0000 0.0000 11.0640

Verdict on stability: entry B comes out on top.

Entry A
6
Lattice="7.2615 -1.9387 0.0000 7.2615 1.9387 0.0000 -3.1570 0.0000 8.9845" Properties=species:S:1:pos:R:3 comment="BaSrZr PBE optimized geometry" spacegroup=C2/m dos_ef_per_ev_atom=0.90 pbc="T T T"
Ba -0.2210 0.0000 1.9575
Ba 11.5870 0.0000 7.0270
Sr 3.6052 0.0000 3.2151
Sr 7.7609 0.0000 5.7694
Zr 1.5225 0.0000 8.7146
Zr 9.8436 0.0000 0.2699

Entry B
6
Lattice="3.0844 -9.5254 0.0000 3.0844 9.5254 0.0000 0.0000 0.0000 5.1089" Properties=species:S:1:pos:R:3 comment="BaSrZr PBE optimized geometry" spacegroup=Cmc2_1 dos_ef_per_ev_atom=1.32 pbc="T T T"
Ba 3.0844 6.0976 2.5545
Ba 3.0844 -6.0976 0.0000
Sr 3.0844 1.5634 2.5560
Sr 3.0844 -1.5634 0.0015
Zr 3.0844 9.5090 5.1061
Zr 3.0844 -9.5090 2.5516

Verdict on stability: entry A comes out on top.

Entry A
5
Lattice="-2.4246 2.4246 10.3110 2.4246 -2.4246 10.3110 2.4246 2.4246 -10.3110" Properties=species:S:1:pos:R:3 comment="Ba2Sr2Zr PBE optimized geometry" spacegroup=I4/mmm dos_ef_per_ev_atom=1.96 pbc="T T T"
Ba 2.4246 0.0000 5.1555
Ba 0.0000 2.4246 5.1555
Sr 0.0000 0.0000 1.7707
Sr 0.0000 0.0000 18.8512
Zr 0.0000 0.0000 10.3110

Entry B
10
Lattice="9.0160 0.0000 0.0000 0.0000 9.0160 0.0000 0.0000 0.0000 6.2735" Properties=species:S:1:pos:R:3 comment="Ba2Sr2Zr PBE optimized geometry" spacegroup=P4/mbm dos_ef_per_ev_atom=1.17 pbc="T T T"
Ba 1.5835 2.9245 0.0000
Ba 2.9245 7.4325 0.0000
Ba 6.0916 1.5835 0.0000
Ba 7.4325 6.0916 0.0000
Sr 1.3434 5.8514 3.1367
Sr 3.1646 1.3434 3.1367
Sr 5.8514 7.6726 3.1367
Sr 7.6726 3.1646 3.1367
Zr 0.0000 0.0000 3.1367
Zr 4.5080 4.5080 3.1367

Verdict on stability: entry B comes out on top.

Entry A
5
Lattice="6.2858 0.0000 0.0000 0.0000 6.2858 0.0000 0.0000 0.0000 6.2858" Properties=species:S:1:pos:R:3 comment="BaSr3Zr PBE optimized geometry" spacegroup=Pm-3m dos_ef_per_ev_atom=0.91 pbc="T T T"
Ba 0.0000 0.0000 0.0000
Sr 0.0000 3.1429 3.1429
Sr 3.1429 0.0000 3.1429
Sr 3.1429 3.1429 0.0000
Zr 3.1429 3.1429 3.1429

Entry B
5
Lattice="6.1549 0.0000 0.0000 0.0000 6.1549 0.0000 0.0000 0.0000 6.1549" Properties=species:S:1:pos:R:3 comment="BaSr3Zr PBE optimized geometry" spacegroup=Pm-3m dos_ef_per_ev_atom=0.83 pbc="T T T"
Ba 0.0000 0.0000 0.0000
Sr 0.0000 0.0000 3.0775
Sr 0.0000 3.0775 0.0000
Sr 3.0775 0.0000 0.0000
Zr 3.0775 3.0775 3.0775

Verdict on stability: entry A comes out on top.

Entry A
4
Lattice="-1.7062 2.5459 5.0233 1.7062 -2.5459 5.0233 1.7062 2.5459 -5.0233" Properties=species:S:1:pos:R:3 comment="BaTa3 PBE optimized geometry" spacegroup=Immm dos_ef_per_ev_atom=1.22 pbc="T T T"
Ba 0.0000 0.0000 0.0000
Ta 1.7062 0.0000 2.6875
Ta 0.0000 0.0000 5.0233
Ta 0.0000 2.5459 2.3359

Entry B
4
Lattice="3.3989 0.0000 0.0000 0.0000 3.3989 0.0000 0.0000 0.0000 8.5753" Properties=species:S:1:pos:R:3 comment="BaTa3 PBE optimized geometry" spacegroup=P4/mmm dos_ef_per_ev_atom=1.48 pbc="T T T"
Ba 0.0000 0.0000 0.0000
Ta 0.0000 0.0000 4.2877
Ta 1.6994 1.6994 2.8518
Ta 1.6994 1.6994 5.7235

Verdict on stability: entry B comes out on top.

Entry A
5
Lattice="-3.1280 3.1280 3.1280 3.1280 -3.1280 3.1280 3.1280 3.1280 -3.1280" Properties=species:S:1:pos:R:3 comment="BaTa4 PBE optimized geometry" spacegroup=Im-3m dos_ef_per_ev_atom=1.50 pbc="T T T"
Ba 0.0000 0.0000 0.0000
Ta 1.5640 1.5640 -1.5640
Ta 1.5640 -1.5640 1.5640
Ta -1.5640 1.5640 1.5640
Ta 1.5640 1.5640 1.5640

Entry B
5
Lattice="-2.1160 2.1160 6.8083 2.1160 -2.1160 6.8083 2.1160 2.1160 -6.8083" Properties=species:S:1:pos:R:3 comment="BaTa4 PBE optimized geometry" spacegroup=I4/mmm dos_ef_per_ev_atom=1.18 pbc="T T T"
Ba 0.0000 0.0000 0.0000
Ta 2.1160 0.0000 3.4041
Ta 0.0000 0.0000 5.2170
Ta 0.0000 0.0000 8.3996
Ta 0.0000 2.1160 3.4041

Entry C
5
Lattice="4.9895 0.0000 0.0000 0.0000 4.9895 0.0000 0.0000 0.0000 4.9895" Properties=species:S:1:pos:R:3 comment="BaTa4 PBE optimized geometry" spacegroup=Pm-3m dos_ef_per_ev_atom=1.37 pbc="T T T"
Ba 0.0000 0.0000 0.0000
Ta 0.0000 0.0000 2.4947
Ta 0.0000 2.4947 0.0000
Ta 2.4947 0.0000 0.0000
Ta 2.4947 2.4947 2.4947

Verdict on stability: entry B comes out on top.

Entry A
4
Lattice="4.7006 -1.6336 0.0000 4.7006 1.6336 0.0000 -0.5689 0.0000 6.8013" Properties=species:S:1:pos:R:3 comment="BaTa2Tc PBE optimized geometry" spacegroup=Cm dos_ef_per_ev_atom=1.05 pbc="T T T"
Ba 0.0000 0.0000 0.0000
Ta 1.7613 0.0000 4.2841
Ta 4.3290 0.0000 3.2721
Tc 6.8773 0.0000 2.4334

Entry B
4
Lattice="3.1123 0.0000 0.0000 0.0000 4.2805 0.0000 -0.1917 0.0000 7.4044" Properties=species:S:1:pos:R:3 comment="BaTa2Tc PBE optimized geometry" spacegroup=Pm dos_ef_per_ev_atom=0.71 pbc="T T T"
Ba 0.0000 0.0000 0.0000
Ta 0.8997 0.0000 3.9453
Ta 2.5974 2.1403 2.6742
Tc 1.9609 2.1403 4.9637

Verdict on stability: entry B comes out on top.